(1)
This record from Alexandria describes an optimized crystal structure of HoMgAu4. The functional is GGA-PBE.

a b c (Å): 5.1448 5.1448 7.1882
angles (deg): 109.75 109.75 41.74
Last column: nearest neighbours and their distance in Å.
Fractional coordinates of all 6 atoms:
1 Ho 0.0000 0.0000 0.0000  10 Au 3.00-3.02
2 Mg 0.0000 0.0000 0.5000  10 Au 2.89-3.03
3 Au 0.3364 0.3364 0.1821  2 Mg 2.91, 5 Au 2.91-3.14, 3 Ho 3.01-3.02
4 Au 0.3385 0.3385 0.6590  3 Mg 2.89-3.03, 5 Au 2.91-2.98, 2 Ho 3.00
5 Au 0.6615 0.6615 0.3410  3 Mg 2.89-3.03, 5 Au 2.91-2.98, 2 Ho 3.00
6 Au 0.6636 0.6636 0.8179  2 Mg 2.91, 5 Au 2.91-3.14, 3 Ho 3.01-3.02

Results
ΔE to the lowest computed polymorph: 0.0000 eV per atom



(2)
This record from Alexandria describes an optimized crystal structure of Ho2MgAu3. The functional is GGA-PBE.

a b c (Å): 3.5112 3.5112 10.4767
angles (deg): 90.00 90.00 90.00
Last column: nearest neighbours and their distance in Å.
Fractional coordinates of all 6 atoms:
1 Ho 0.0000 0.0000 0.1761  8 Au 3.05-3.09, 1 Mg 3.39
2 Ho 0.0000 0.0000 0.8239  8 Au 3.05-3.09, 1 Mg 3.39
3 Mg 0.0000 0.0000 0.5000  8 Au 2.97
4 Au 0.5000 0.5000 0.0000  8 Ho 3.09
5 Au 0.5000 0.5000 0.3444  4 Mg 2.97, 4 Ho 3.05, 1 Au 3.26
6 Au 0.5000 0.5000 0.6556  4 Mg 2.97, 4 Ho 3.05, 1 Au 3.26

Results
ΔE to the lowest computed polymorph: 0.0278 eV per atom



(3)
This record from Alexandria describes an optimized crystal structure of Ho4Mg3Au. The functional is GGA-PBE.

a b c (Å): 3.7147 3.7147 14.8975
angles (deg): 90.00 90.00 90.00
Last column: nearest neighbours and their distance in Å.
Fractional coordinates of all 8 atoms:
1 Ho 0.0000 0.0000 0.1135  4 Au 3.12, 4 Mg 3.28, 1 Ho 3.38
2 Ho 0.0000 0.0000 0.3704  8 Mg 3.22-3.26
3 Ho 0.0000 0.0000 0.6296  8 Mg 3.22-3.26
4 Ho 0.0000 0.0000 0.8865  4 Au 3.12, 4 Mg 3.28, 1 Ho 3.38
5 Mg 0.5000 0.5000 0.2453  8 Ho 3.22-3.28
6 Mg 0.5000 0.5000 0.5000  8 Ho 3.26
7 Mg 0.5000 0.5000 0.7547  8 Ho 3.22-3.28
8 Au 0.5000 0.5000 0.0000  8 Ho 3.12



(4)
This record from Alexandria describes an optimized crystal structure of HoMgAu. The functional is GGA-PBE.

a b c (Å): 4.2138 4.2138 7.7504
angles (deg): 90.00 90.00 90.00
Last column: nearest neighbours and their distance in Å.
Fractional coordinates of all 6 atoms:
1 Ho 0.2500 0.2500 0.1463  5 Au 3.00-3.07
2 Ho 0.7500 0.7500 0.8537  5 Au 3.00-3.07
3 Mg 0.2500 0.7500 0.5000  4 Au 2.91, 4 Mg 2.98
4 Mg 0.7500 0.2500 0.5000  4 Au 2.91, 4 Mg 2.98
5 Au 0.2500 0.2500 0.7595  4 Mg 2.91, 5 Ho 3.00-3.07
6 Au 0.7500 0.7500 0.2405  4 Mg 2.91, 5 Ho 3.00-3.07



(5)
This record from Alexandria describes an optimized crystal structure of HoMgAu. The functional is GGA-PBE.

a b c (Å): 5.0804 5.0804 6.0702
angles (deg): 90.00 90.00 120.00
Last column: nearest neighbours and their distance in Å.
Fractional coordinates of all 6 atoms:
1 Ho 0.3333 0.6667 0.2500  5 Au 2.93-3.04
2 Ho 0.6667 0.3333 0.7500  5 Au 2.93-3.04
3 Mg 0.0000 0.0000 0.0000  2 Mg 3.04, 6 Ho 3.30, 6 Au 3.30
4 Mg 0.0000 0.0000 0.5000  2 Mg 3.04, 6 Ho 3.30, 6 Au 3.30
5 Au 0.3333 0.6667 0.7500  5 Ho 2.93-3.04
6 Au 0.6667 0.3333 0.2500  5 Ho 2.93-3.04



(6)
This record from Alexandria describes an optimized crystal structure of Ho4MgAu2. The functional is GGA-PBE.

a b c (Å): 9.5111 9.5111 9.5111
angles (deg): 30.40 30.40 30.40
Last column: nearest neighbours and their distance in Å.
Fractional coordinates of all 7 atoms:
1 Ho 0.1137 0.1137 0.1137  3 Au 3.13, 3 Mg 3.22
2 Ho 0.2946 0.2946 0.2946  4 Au 2.91-2.99
3 Ho 0.7054 0.7054 0.7054  4 Au 2.91-2.99
4 Ho 0.8863 0.8863 0.8863  3 Au 3.13, 3 Mg 3.22
5 Mg 0.5000 0.5000 0.5000  2 Au 2.68
6 Au 0.4015 0.4015 0.4015  1 Mg 2.68, 4 Ho 2.91-2.99
7 Au 0.5985 0.5985 0.5985  1 Mg 2.68, 4 Ho 2.91-2.99



| no. | formation enthalpy at 0 K (kcal/mol of atoms) | E_tot (eV per formula unit) |
| --- | --- | --- |
| 1 | -15.1 | -23.22 |
| 2 | -18.0 | -25.27 |
| 3 | -6.3 | -28.57 |
| 4 | -14.8 | -11.37 |
| 5 | -14.5 | -11.33 |
| 6 | -8.2 | -28.96 |